VASP calculation (PBE) on crystalline Be2PdRh at its relaxed geometry.

Geometry as CIF:
```
data_Be2PdRh
_chemical_formula_sum 'Be8 Pd4 Rh4'
_space_group_name_H-M_alt 'F m -3 m'
_space_group_IT_number 225
_space_group_name_Hall '-F 4 2 3'
_cell_length_a 5.605
_cell_length_b 5.605
_cell_length_c 5.605
_cell_angle_alpha 90.00
_cell_angle_beta 90.00
_cell_angle_gamma 90.00
loop_
_atom_site_label
_atom_site_fract_x
_atom_site_fract_y
_atom_site_fract_z
Be1 0.250 0.250 0.250
Pd1 0.000 0.000 0.000
Rh1 0.000 0.000 0.500
```

- Theoretical density: 8.6 g/cm3
- N(E_F): 4.6 states/eV per cell
- VASP energy: -0.416 Ry/atom
- Energy of formation: -0.655 eV per atom